A plane-wave DFT calculation with PBE was carried out for a relaxed structure of Ac3Sm3Er2.

## Properties
Energy relative to the elements (eV/f.u.): 1.311
Raw total energy (eV per atom): -4.2872
ρ (Mg/m³): 8.09

Cell lengths 10.087, 10.087, 6.835 Å; angles 90.00, 90.00, 120.00 degrees
Atoms (fractional coordinates):
Ac (0.000, 0.237, 0.250)
Ac (0.000, 0.763, 0.750)
Ac (0.237, 0.000, 0.250)
Ac (0.237, 0.237, 0.750)
Ac (0.763, 0.000, 0.750)
Ac (0.763, 0.763, 0.250)
Sm (0.000, 0.414, 0.750)
Sm (0.000, 0.586, 0.250)
Sm (0.414, 0.000, 0.750)
Sm (0.414, 0.414, 0.250)
Sm (0.586, 0.000, 0.250)
Sm (0.586, 0.586, 0.750)
Er (0.333, 0.667, 0.000)
Er (0.333, 0.667, 0.500)
Er (0.667, 0.333, 0.000)
Er (0.667, 0.333, 0.500)